Entry 1:
HoThCuRh PBE relaxed; polymorph energy (0 for the lowest one) = 0.000 eV per atom; ΔE_f = -0.6057 eV per atom; calculated volume = 90.4 Å³/f.u.; magnetic moment = 0.00 μB per cell
1.0
-0.788 -3.007 2.342
0.433 -2.569 -3.152
5.924 0.979 0.015
Ho Th Cu Rh
1 1 1 1
Cartesian
1.587 -0.150 0.340 Ho
3.906 -3.175 0.472 Th
0.707 -2.872 -0.215 Cu
4.505 -0.427 0.967 Rh

***

Entry 2:
YNb2Bi2 PBE relaxed; polymorph energy (0 for the lowest one) = 0.160 eV per atom; ΔE_f = 0.0816 eV per atom; calculated volume = 119.2 Å³/f.u.; magnetic moment = 0.00 μB per cell
1.0
8.174 0.000 0.000
0.000 8.174 0.000
0.000 0.000 3.569
Y Nb Bi
2 4 4
Cartesian
0.000 0.000 0.000 Y
4.087 4.087 0.000 Y
1.105 5.192 1.784 Nb
5.192 7.069 1.784 Nb
7.069 2.982 1.784 Nb
2.982 1.105 1.784 Nb
2.835 6.922 0.000 Bi
6.922 5.339 0.000 Bi
5.339 1.252 0.000 Bi
1.252 2.835 0.000 Bi

***

Entry 3:
ReSnHAu2 PBE relaxed; E_tot = -4.1781 eV/atom; calculated volume = 89.5 Å³/f.u.; magnetic moment = 1.83 μB per cell
1.0
5.217 0.000 0.000
0.000 3.287 0.000
0.000 0.000 5.217
Re Au Sn H
1 2 1 1
Cartesian
2.609 1.644 2.609 Re
0.000 0.000 2.609 Au
2.609 0.000 0.000 Au
0.000 0.000 0.000 Sn
0.000 1.644 0.000 H

***

Entry 4:
NdY3Zn PBE relaxed; polymorph energy (0 for the lowest one) = 0.088 eV per atom; ΔE_f = 0.0396 eV per atom; calculated volume = 159.0 Å³/f.u.; magnetic moment = 0.00 μB per cell
1.0
7.293 -0.082 -0.402
-2.074 6.993 0.402
-3.211 -3.001 6.309
Nd Y Zn
2 6 2
Cartesian
2.389 -1.804 4.635 Nd
-0.381 5.714 1.675 Nd
3.278 6.222 1.497 Y
0.132 2.056 1.497 Y
1.877 1.854 4.812 Y
3.820 2.541 1.092 Y
-1.269 -2.312 4.812 Y
-1.812 1.368 5.217 Y
1.862 4.020 2.706 Zn
0.146 -0.111 3.603 Zn

***

Entry 5:
RbCr2SiC PBE relaxed; calculated volume = 84.2 Å³/f.u.; formation energy without anion corrections = 1470.9 meV/atom; magnetic moment = 0.00 μB per cell
1.0
4.020 0.000 0.000
0.000 5.211 0.000
0.000 0.000 4.020
Cr Si C Rb
2 1 1 1
Cartesian
0.000 0.000 2.010 Cr
2.010 0.000 0.000 Cr
2.010 2.605 2.010 Si
0.000 0.000 0.000 C
0.000 2.605 0.000 Rb

***

Entry 6:
Sb3H2Pd8 PBE relaxed; E_tot = -4.9441 eV/atom; calculated volume = 202.7 Å³/f.u.; magnetic moment = 0.00 μB per cell
1.0
-0.787 4.239 -3.616
-5.062 0.818 -2.318
-3.802 6.128 3.633
Sb H Pd
3 2 8
Cartesian
0.000 0.000 0.000 Sb
-6.977 7.762 -2.516 Sb
-2.674 3.422 0.215 Sb
-4.265 4.248 -2.848 H
-5.386 6.936 0.547 H
-7.624 9.315 -0.556 Pd
-2.026 1.870 -1.745 Pd
-5.058 3.465 -1.392 Pd
-2.909 5.185 -2.045 Pd
-5.454 5.596 -3.211 Pd
-6.742 5.999 -0.256 Pd
-4.592 7.720 -0.909 Pd
-4.197 5.588 0.910 Pd

***

Entry 7:
SrErMgCd PBE relaxed; ΔE_f = -0.1172 eV per atom; calculated volume = 119.5 Å³/f.u.; magnetic moment = 0.00 μB per cell
1.0
5.529 0.000 0.000
2.765 4.789 0.000
2.765 1.596 4.515
Sr Mg Cd Er
1 1 1 1
Cartesian
5.529 3.192 2.257 Sr
2.765 1.596 1.129 Mg
8.294 4.789 3.386 Cd
0.000 0.000 0.000 Er

***

Entry 8:
AlHg3C PBE relaxed; polymorph energy (0 for the lowest one) = 0.365 eV per atom; ΔE_f = 1.4550 eV per atom; calculated volume = 150.9 Å³/f.u.; magnetic moment = 2.54 μB per cell
1.0
5.324 0.000 0.000
0.000 5.324 0.000
0.000 0.000 5.324
C Hg Al
1 3 1
Cartesian
2.662 2.662 2.662 C
0.000 2.662 0.000 Hg
0.000 0.000 2.662 Hg
2.662 0.000 0.000 Hg
0.000 0.000 0.000 Al